(1)
Here is Co2AgW after structural relaxation from Alexandria via LeMat-Bulk. Energies are from PBE-GGA.

a = 6.0607 Å, b = 6.0607 Å, c = 6.0607 Å
α = 90.00°, β = 90.00°, γ = 90.00°
Closest atoms and distances in Å follow each position.
Space group F-43m (No. 216)
Symmetry-distinct sites (fractional):
Co  0.0000  0.0000  0.0000 [4 per cell]  4 Co 2.62, 4 W 2.62
Co  0.2500  0.2500  0.2500 [4 per cell]  4 Co 2.62, 4 Ag 2.62
Ag  0.0000  0.0000  0.5000 [4 per cell]  4 W 2.62, 4 Co 2.62
W  0.2500  0.2500  0.7500 [4 per cell]  4 Co 2.62, 4 Ag 2.62

Results
Its energy above the most stable polymorph in this dataset is 0.425 eV/atom.

=====

(2)
Here is Co2Ag2W after structural relaxation from Alexandria via LeMat-Bulk. Energies are from PBE-GGA.

a = 6.0058 Å, b = 6.0058 Å, c = 4.1903 Å
α = 90.00°, β = 90.00°, γ = 90.00°
Closest atoms and distances in Å follow each position.
Space group P4/mbm (No. 127)
Symmetry-distinct sites (fractional):
Co  0.1299  0.3701  0.0000 [4 per cell]  1 Co 2.21, 2 W 2.36
Ag  0.1735  0.6735  0.5000 [4 per cell]  6 Co 2.68-2.79, 1 Ag 2.95
W  0.0000  0.0000  0.0000 [2 per cell]  4 Co 2.36

Results
Its energy above the most stable polymorph in this dataset is 0.000 eV/atom.

=====

(3)
Here is Co2AgW after structural relaxation from Alexandria via LeMat-Bulk. Energies are from PBE-GGA.

a = 3.9413 Å, b = 3.9413 Å, c = 6.8481 Å
α = 90.00°, β = 90.00°, γ = 90.00°
Closest atoms and distances in Å follow each position.
Space group I4/mmm (No. 139)
Symmetry-distinct sites (fractional):
Co  0.0000  0.5000  0.2500 [4 per cell]  4 W 2.61, 4 Ag 2.61, 4 Co 2.79
Ag  0.0000  0.0000  0.0000 [2 per cell]  8 Co 2.61, 4 W 2.79
W  0.0000  0.0000  0.5000 [2 per cell]  8 Co 2.61, 4 Ag 2.79

Results
Its energy above the most stable polymorph in this dataset is 0.095 eV/atom.

=====

(4)
Here is CoAgW after structural relaxation from Alexandria via LeMat-Bulk. Energies are from PBE-GGA.

a = 2.7699 Å, b = 2.7699 Å, c = 11.5486 Å
α = 90.00°, β = 90.00°, γ = 90.00°
Closest atoms and distances in Å follow each position.
Space group I4mm (No. 107)
Symmetry-distinct sites (fractional):
Co  0.0000  0.0000  0.0000 [2 per cell]  4 W 2.52, 4 Co 2.77, 4 Ag 2.77
Ag  0.0000  0.0000  0.6701 [2 per cell]  4 Ag 2.77, 4 Co 2.77, 4 W 2.96
W  0.0000  0.0000  0.3624 [2 per cell]  4 Co 2.52, 4 W 2.77

Results
Its energy above the most stable polymorph in this dataset is 0.000 eV/atom.

=====

(5)
Here is CoAgW2 after structural relaxation from Alexandria via LeMat-Bulk. Energies are from PBE-GGA.

a = 2.7792 Å, b = 2.7792 Å, c = 27.5477 Å
α = 90.00°, β = 90.00°, γ = 120.00°
Closest atoms and distances in Å follow each position.
Space group R3m (No. 160, hexagonal axes)
Symmetry-distinct sites (fractional):
Co  0.0000  0.0000  0.0000 [3 per cell]  3 W 2.53, 6 Co 2.78, 3 Ag 2.78
Ag  0.0000  0.0000  0.2508 [3 per cell]  6 Ag 2.78, 3 Co 2.78, 3 W 2.97
W  0.0000  0.0000  0.4934 [3 per cell]  9 W 2.78-2.93, 3 Ag 2.97
W  0.0000  0.0000  0.7378 [3 per cell]  3 Co 2.53, 6 W 2.78

Results
Its energy above the most stable polymorph in this dataset is 0.096 eV/atom.

=====

(6)
Here is Co2AgW after structural relaxation from Alexandria via LeMat-Bulk. Energies are from PBE-GGA.

a = 2.6931 Å, b = 3.2608 Å, c = 6.3629 Å
α = 90.00°, β = 90.00°, γ = 90.00°
Closest atoms and distances in Å follow each position.
Space group Pmm2 (No. 25)
Symmetry-distinct sites (fractional):
Co  0.0000  0.0000  0.0000 [1 per cell]  4 Co 2.37, 1 W 2.56
Co  0.5000  0.5000  0.1699 [1 per cell]  4 Co 2.37, 4 W 2.58
Ag  0.5000  0.5000  0.7266 [1 per cell]  2 Ag 2.69, 5 Co 2.74-2.82, 4 W 2.96
W  0.0000  0.0000  0.4021 [1 per cell]  5 Co 2.56-2.58, 2 W 2.69

Results
Its energy above the most stable polymorph in this dataset is 0.128 eV/atom.

=====

(7)
Here is CoAgW3 after structural relaxation from Alexandria via LeMat-Bulk. Energies are from PBE-GGA.

a = 4.4708 Å, b = 4.4708 Å, c = 4.4708 Å
α = 90.00°, β = 90.00°, γ = 90.00°
Closest atoms and distances in Å follow each position.
Space group Pm-3m (No. 221)
Symmetry-distinct sites (fractional):
Co  0.0000  0.0000  0.0000 [1 per cell]  6 W 2.24
Ag  0.5000  0.5000  0.5000 [1 per cell]  12 W 3.16
W  0.0000  0.0000  0.5000 [3 per cell]  2 Co 2.24

Results
Its energy above the most stable polymorph in this dataset is 0.000 eV/atom.

=====

(8)
Here is Co2AgW after structural relaxation from Alexandria via LeMat-Bulk. Energies are from PBE-GGA.

a = 4.0939 Å, b = 2.6832 Å, c = 9.9559 Å
α = 90.00°, β = 90.00°, γ = 90.00°
Closest atoms and distances in Å follow each position.
Space group Amm2 (No. 38)
Symmetry-distinct sites (fractional):
Co  0.0000  0.0000  0.0000 [2 per cell]  4 Co 2.41-2.68, 2 W 2.62, 4 Ag 2.68
Co  0.5000  0.0000  0.1286 [2 per cell]  4 Co 2.41-2.68, 1 Ag 2.61, 4 W 2.63
Ag  0.5000  0.0000  0.3912 [2 per cell]  7 Co 2.61-2.72, 2 Ag 2.68
W  0.0000  0.0000  0.7261 [2 per cell]  7 Co 2.62-2.73, 2 W 2.68

Results
Its energy above the most stable polymorph in this dataset is 0.159 eV/atom.

=====

(9)
Here is CoAgW2 after structural relaxation from Alexandria via LeMat-Bulk. Energies are from PBE-GGA.

a = 9.1027 Å, b = 2.7146 Å, c = 4.9469 Å
α = 90.00°, β = 99.73°, γ = 90.00°
Closest atoms and distances in Å follow each position.
Space group Cm (No. 8)
Symmetry-distinct sites (fractional):
Co  0.0000  0.0000  0.0000 [2 per cell]  4 W 2.56-2.78, 2 Co 2.71, 3 Ag 2.75-2.79
Ag  0.2541  0.5000  0.2542 [2 per cell]  2 Ag 2.71, 7 W 2.73-2.91, 3 Co 2.75-2.79
W  0.0129  0.5000  0.5145 [2 per cell]  5 W 2.71-2.85, 3 Ag 2.73-2.83, 4 Co 2.78-2.87
W  0.2727  0.0000  0.7782 [2 per cell]  2 Co 2.56, 5 W 2.71-2.85, 2 Ag 2.75

Results
Its energy above the most stable polymorph in this dataset is 0.172 eV/atom.

=====

(10)
Here is CoAgW2 after structural relaxation from Alexandria via LeMat-Bulk. Energies are from PBE-GGA.

a = 5.3760 Å, b = 8.2130 Å, c = 2.7026 Å
α = 90.00°, β = 90.23°, γ = 90.00°
Closest atoms and distances in Å follow each position.
Space group C2/m (No. 12)
Symmetry-distinct sites (fractional):
Co  0.0000  0.0000  0.0000 [2 per cell]  2 Ag 2.69, 2 Co 2.70, 8 W 2.80
Ag  0.0000  0.5000  0.0000 [2 per cell]  2 Co 2.69, 2 Ag 2.70, 8 W 2.80
W  0.2500  0.2500  0.5000 [4 per cell]  4 W 2.69-2.70, 4 Co 2.80, 4 Ag 2.80

Results
Its energy above the most stable polymorph in this dataset is 0.201 eV/atom.

=====

(11)
Here is CoAgW2 after structural relaxation from Alexandria via LeMat-Bulk. Energies are from PBE-GGA.

a = 7.0780 Å, b = 7.0780 Å, c = 5.1557 Å
α = 90.00°, β = 90.00°, γ = 90.00°
Closest atoms and distances in Å follow each position.
Space group I-42d (No. 122)
Symmetry-distinct sites (fractional):
Co  0.0000  0.0000  0.0000 [4 per cell]  4 W 2.36, 2 Ag 2.58
Ag  0.0000  0.0000  0.5000 [4 per cell]  2 Co 2.58, 4 W 2.83
W  0.2014  0.2500  0.1250 [8 per cell]  2 Co 2.36

Results
Its energy above the most stable polymorph in this dataset is 0.551 eV/atom.

=====

(12)
Here is CoAgW2 after structural relaxation from Alexandria via LeMat-Bulk. Energies are from PBE-GGA.

a = 3.7990 Å, b = 3.7990 Å, c = 4.1422 Å
α = 90.00°, β = 90.00°, γ = 90.00°
Closest atoms and distances in Å follow each position.
Space group P4/mmm (No. 123)
Symmetry-distinct sites (fractional):
Co  0.0000  0.0000  0.0000 [1 per cell]  4 Ag 2.69, 8 W 2.81
Ag  0.5000  0.5000  0.0000 [1 per cell]  4 Co 2.69, 8 W 2.81
W  0.0000  0.5000  0.5000 [2 per cell]  4 W 2.69, 4 Co 2.81, 4 Ag 2.81

Results
Its energy above the most stable polymorph in this dataset is 0.189 eV/atom.